This record from OQMD describes a relaxed TlCoO3 crystal. The functional is PBE+U.

Summary:
The calculation puts the calculated total energy at -5.08 eV per atom. Its space-group type is No. 167.

The structure in POSCAR format:
```
TlCoO3
1.0
1.429 5.646 0.237
4.534 2.222 -2.913
-0.637 3.599 -4.541
Tl O Co
2 6 2
Cartesian
2.663 5.734 -3.608
0.000 0.000 0.000
4.873 6.185 -3.709
0.454 5.283 -3.507
2.978 5.442 -1.392
2.100 7.859 -3.096
2.349 6.026 -5.824
3.227 3.609 -4.121
1.332 2.867 -1.804
3.995 8.601 -5.413
```